{
  "formula": "CuAg39",
  "functional": "PBE-GGA",
  "state": "optimized geometry",
  "lattice_angstrom": [[7.761, 0.000, 0.000], [0.010, 9.282, 0.000], [2.222, 0.012, 9.913]],
  "species": ["Ag", "Ag", "Ag", "Ag", "Ag", "Ag", "Ag", "Ag", "Ag", "Ag", "Ag", "Ag", "Ag", "Ag", "Ag", "Ag", "Ag", "Ag", "Ag", "Ag", "Ag", "Ag", "Ag", "Ag", "Ag", "Ag", "Ag", "Ag", "Ag", "Ag", "Ag", "Ag", "Ag", "Ag", "Ag", "Ag", "Ag", "Ag", "Ag", "Cu"],
  "fractional_positions": [[0.346, 0.598, 0.025], [0.703, 0.697, 0.049], [0.049, 0.795, 0.074], [0.401, 0.898, 0.100], [0.751, 0.000, 0.124], [0.101, 0.098, 0.150], [0.450, 0.201, 0.175], [0.803, 0.303, 0.197], [0.148, 0.401, 0.222], [0.498, 0.500, 0.250], [0.852, 0.598, 0.271], [0.200, 0.700, 0.301], [0.551, 0.799, 0.325], [0.900, 0.899, 0.350], [0.251, 0.000, 0.375], [0.600, 0.101, 0.399], [0.950, 0.200, 0.424], [0.299, 0.301, 0.450], [0.650, 0.400, 0.474], [0.000, 0.500, 0.500], [0.350, 0.600, 0.526], [0.701, 0.699, 0.550], [0.050, 0.800, 0.576], [0.400, 0.899, 0.601], [0.749, 0.000, 0.625], [0.100, 0.101, 0.650], [0.449, 0.201, 0.675], [0.800, 0.300, 0.699], [0.148, 0.402, 0.729], [0.502, 0.500, 0.750], [0.852, 0.599, 0.778], [0.197, 0.697, 0.803], [0.550, 0.799, 0.825], [0.899, 0.902, 0.850], [0.249, 0.000, 0.876], [0.599, 0.102, 0.900], [0.951, 0.205, 0.926], [0.297, 0.303, 0.951], [0.654, 0.402, 0.975], [0.000, 0.500, 0.000]],
  "formation_enthalpy_0k_ev_per_fu": 0.22,
  "space_group": "P-1 (2)"
}